Density functional theory data (GGA+U) for crystalline Mn3Fe2Ge3O12 at its relaxed geometry.

a = 10.604 Å, b = 10.604 Å, c = 10.604 Å
α = 109.47°, β = 109.47°, γ = 109.47°
Fractional coordinates of all 80 atoms:
Mn (0.125, 0.250, 0.375)
Mn (0.125, 0.375, 0.750)
Mn (0.250, 0.375, 0.125)
Mn (0.250, 0.875, 0.625)
Mn (0.375, 0.125, 0.250)
Mn (0.375, 0.750, 0.125)
Mn (0.625, 0.250, 0.875)
Mn (0.625, 0.875, 0.750)
Mn (0.750, 0.125, 0.375)
Mn (0.750, 0.625, 0.875)
Mn (0.875, 0.625, 0.250)
Mn (0.875, 0.750, 0.625)
Fe (0.000, 0.000, 0.000)
Fe (0.000, 0.000, 0.500)
Fe (0.000, 0.500, 0.000)
Fe (0.000, 0.500, 0.500)
Fe (0.500, 0.000, 0.000)
Fe (0.500, 0.000, 0.500)
Fe (0.500, 0.500, 0.000)
Fe (0.500, 0.500, 0.500)
Ge (0.125, 0.750, 0.875)
Ge (0.125, 0.875, 0.250)
Ge (0.250, 0.125, 0.875)
Ge (0.250, 0.625, 0.375)
Ge (0.375, 0.250, 0.625)
Ge (0.375, 0.625, 0.750)
Ge (0.625, 0.375, 0.250)
Ge (0.625, 0.750, 0.375)
Ge (0.750, 0.375, 0.625)
Ge (0.750, 0.875, 0.125)
Ge (0.875, 0.125, 0.750)
Ge (0.875, 0.250, 0.125)
O (0.023, 0.207, 0.124)
O (0.023, 0.316, 0.900)
O (0.084, 0.707, 0.684)
O (0.084, 0.876, 0.400)
O (0.100, 0.624, 0.416)
O (0.100, 0.977, 0.684)
O (0.124, 0.023, 0.207)
O (0.124, 0.600, 0.916)
O (0.184, 0.207, 0.584)
O (0.184, 0.477, 0.600)
O (0.207, 0.124, 0.023)
O (0.207, 0.584, 0.184)
O (0.293, 0.316, 0.916)
O (0.293, 0.477, 0.376)
O (0.316, 0.900, 0.023)
O (0.316, 0.916, 0.293)
O (0.376, 0.293, 0.477)
O (0.376, 0.584, 0.900)
O (0.400, 0.084, 0.876)
O (0.400, 0.816, 0.523)
O (0.416, 0.100, 0.624)
O (0.416, 0.816, 0.793)
O (0.477, 0.376, 0.293)
O (0.477, 0.600, 0.184)
O (0.523, 0.400, 0.816)
O (0.523, 0.624, 0.707)
O (0.584, 0.184, 0.207)
O (0.584, 0.900, 0.376)
O (0.600, 0.184, 0.477)
O (0.600, 0.916, 0.124)
O (0.624, 0.416, 0.100)
O (0.624, 0.707, 0.523)
O (0.684, 0.084, 0.707)
O (0.684, 0.100, 0.977)
O (0.707, 0.523, 0.624)
O (0.707, 0.684, 0.084)
O (0.793, 0.416, 0.816)
O (0.793, 0.876, 0.977)
O (0.816, 0.523, 0.400)
O (0.816, 0.793, 0.416)
O (0.876, 0.400, 0.084)
O (0.876, 0.977, 0.793)
O (0.900, 0.023, 0.316)
O (0.900, 0.376, 0.584)
O (0.916, 0.124, 0.600)
O (0.916, 0.293, 0.316)
O (0.977, 0.684, 0.100)
O (0.977, 0.793, 0.876)

Computed properties:
* total energy: -6.998 eV/atom
* space-group type: Ia-3d
* DOS(E_F): 0.00 states/eV per cell